VASP calculation (PBE) on a geometry-optimized Zr3ScHg4 structure.

Calculated values
Density   10.7 Mg/m³
Fermi-level density of states   9.2 states/eV/f.u.
E   -4.36 eV/atom
E_form   -0.2090 eV per atom

a = 3.502 Å, b = 3.502 Å, c = 14.231 Å
α = 90.00°, β = 90.00°, γ = 90.00°
Fractional coordinates of all 8 atoms:
Zr 0.500 0.500 0.250
Hg 0.000 0.000 0.879
Hg 0.000 0.000 0.625
Zr 0.500 0.500 0.500
Sc 0.500 0.500 0.000
Hg 0.000 0.000 0.375
Hg 0.000 0.000 0.121
Zr 0.500 0.500 0.750

***

VASP calculation (PBE) on a geometry-optimized Mn2CuRe structure.

Calculated values
Polymorph energy (0 for the lowest one)   136 meV per atom
Density   11.8 Mg/m³
Fermi-level density of states   5.3 states/eV/f.u.
E   -8.45 eV/atom
E_form   0.2679 eV per atom

a = 2.563 Å, b = 2.563 Å, c = 7.939 Å
α = 90.00°, β = 90.00°, γ = 102.98°
Site moments in Bohr magnetons follow the coordinates.
Fractional coordinates of all 4 atoms:
Cu 0.500 0.500 0.762  0.05
Mn 0.500 0.500 0.237  1.16
Re 0.000 0.000 0.491  -0.07
Mn 0.000 0.000 0.010  1.98

***

VASP calculation (PBE) on a geometry-optimized KCd2NiAu structure.

Calculated values
Density   6.7 Mg/m³
Fermi-level density of states   2.2 states/eV/f.u.
E   -2.41 eV/atom
E_form   -0.0170 eV per atom

a = 5.052 Å, b = 5.052 Å, c = 5.080 Å
α = 90.00°, β = 90.00°, γ = 90.00°
Fractional coordinates of all 5 atoms:
Au 0.000 0.000 0.500
K 0.500 0.500 0.500
Cd 0.000 0.500 0.000
Cd 0.500 0.000 0.000
Ni 0.000 0.000 0.000

***

VASP calculation (PBE) on a geometry-optimized KSO2F structure.

Calculated values
Raw formation energy   -1.82 eV per atom
Density   2.2 Mg/m³
Fermi-level density of states   0.0 states/eV/f.u.
E   -5.22 eV/atom

a = 5.812 Å, b = 4.699 Å, c = 7.148 Å
α = 71.58°, β = 90.00°, γ = 90.00°
Fractional coordinates of all 10 atoms:
O 0.460 0.337 0.308
K 0.750 0.846 0.289
F 0.250 0.812 0.116
S 0.250 0.401 0.185
F 0.750 0.188 0.884
S 0.750 0.599 0.815
O 0.540 0.663 0.692
O 0.960 0.663 0.692
O 0.040 0.337 0.308
K 0.250 0.154 0.711

***

VASP calculation (PBE) on a geometry-optimized CeDy2PuBi4 structure.

Calculated values
Density   9.8 Mg/m³
Fermi-level density of states   21.7 states/eV/f.u.
E   -6.34 eV/atom
E_form   -0.7129 eV per atom

a = 4.529 Å, b = 7.838 Å, c = 7.833 Å
α = 70.50°, β = 90.00°, γ = 90.00°
Site moments in Bohr magnetons follow the coordinates.
Fractional coordinates of all 8 atoms:
Dy 0.000 0.000 0.000  -0.02
Pu 0.500 0.500 0.000  5.33
Bi 0.000 0.754 0.749  -0.08
Bi 0.500 0.245 0.752  -0.05
Ce 0.000 0.500 0.500  0.70
Dy 0.500 0.000 0.500  -0.06
Bi 0.500 0.755 0.248  -0.05
Bi 0.000 0.246 0.251  -0.08

***

VASP calculation (PBE) on a geometry-optimized HfV4Cd structure.

Calculated values
Density   8.5 Mg/m³
Fermi-level density of states   8.6 states/eV/f.u.
E   -7.75 eV/atom
E_form   0.1425 eV per atom

a = 5.151 Å, b = 5.151 Å, c = 5.151 Å
α = 60.00°, β = 60.00°, γ = 60.00°
Fractional coordinates of all 6 atoms:
V 0.114 0.629 0.629
V 0.629 0.114 0.629
Cd 0.250 0.250 0.250
V 0.629 0.629 0.629
V 0.629 0.629 0.114
Hf 0.000 0.000 0.000

***

VASP calculation (PBE) on a geometry-optimized Tb5Sm2Dy structure.

Calculated values
Polymorph energy (0 for the lowest one)   166 meV per atom
Density   7.9 Mg/m³
Fermi-level density of states   12.4 states/eV/f.u.
E   -4.47 eV/atom
E_form   0.1809 eV per atom

a = 8.976 Å, b = 16.654 Å, c = 10.799 Å
α = 90.00°, β = 90.00°, γ = 160.89°
Fractional coordinates of all 16 atoms:
Dy 0.272 0.823 0.750
Tb 0.539 0.334 0.587
Tb 0.539 0.334 0.913
Sm 0.774 0.613 0.393
Sm 0.226 0.387 0.893
Tb 0.440 0.692 0.750
Tb 0.682 0.971 0.416
Sm 0.774 0.613 0.107
Dy 0.728 0.177 0.250
Tb 0.461 0.666 0.413
Tb 0.318 0.029 0.584
Tb 0.318 0.029 0.916
Sm 0.226 0.387 0.607
Tb 0.461 0.666 0.087
Tb 0.682 0.971 0.084
Tb 0.560 0.308 0.250

***

VASP calculation (PBE) on a geometry-optimized CaHf2Ga structure.

Calculated values
Density   8.1 Mg/m³
Fermi-level density of states   6.2 states/eV/f.u.
E   -5.81 eV/atom
E_form   0.4212 eV per atom

a = 4.246 Å, b = 4.246 Å, c = 11.074 Å
α = 78.95°, β = 78.95°, γ = 90.00°
Fractional coordinates of all 8 atoms:
Hf 0.375 0.356 0.750
Hf 0.875 0.894 0.750
Ca 0.500 0.500 0.000
Ga 0.000 0.000 0.000
Ga 0.750 0.250 0.500
Ca 0.250 0.750 0.500
Hf 0.644 0.125 0.250
Hf 0.106 0.625 0.250

***

VASP calculation (PBE) on a geometry-optimized Tm2NiPt structure.

Calculated values
Density   12.5 Mg/m³
Fermi-level density of states   2.6 states/eV/f.u.
E   -6.07 eV/atom
E_form   -0.8786 eV per atom

a = 4.806 Å, b = 4.806 Å, c = 4.806 Å
α = 60.00°, β = 60.00°, γ = 60.00°
Fractional coordinates of all 4 atoms:
Ni 0.250 0.250 0.250
Pt 0.750 0.750 0.750
Tm 0.500 0.500 0.500
Tm 0.000 0.000 0.000

***

VASP calculation (PBE) on a geometry-optimized Sr2LaBr structure.

Calculated values
Raw formation energy   -0.44 eV per atom
Density   4.0 Mg/m³
Fermi-level density of states   5.3 states/eV/f.u.
E   -2.93 eV/atom

a = 7.324 Å, b = 7.324 Å, c = 6.883 Å
α = 61.89°, β = 61.89°, γ = 30.72°
Fractional coordinates of all 4 atoms:
Sr 0.042 0.042 0.958
Sr 0.458 0.458 0.542
La 0.250 0.250 0.250
Br 0.750 0.750 0.750

***

VASP calculation (PBE) on a geometry-optimized BeZnPd3 structure.

Calculated values
Polymorph energy (0 for the lowest one)   192 meV per atom
Density   8.8 Mg/m³
Fermi-level density of states   0.0 states/eV/f.u.
E   -4.33 eV/atom
E_form   -0.2103 eV per atom

a = 4.205 Å, b = 4.205 Å, c = 4.205 Å
α = 90.00°, β = 90.00°, γ = 90.00°
Fractional coordinates of all 5 atoms:
Pd 0.000 0.500 0.000
Pd 0.500 0.000 0.000
Zn 0.500 0.500 0.500
Be 0.000 0.000 0.000
Pd 0.000 0.000 0.500

***

VASP calculation (PBE) on a geometry-optimized TiFe3Au structure.

Calculated values
Polymorph energy (0 for the lowest one)   0 meV per atom
Density   8.6 Mg/m³
Fermi-level density of states   3.6 states/eV/f.u.
E   -6.28 eV/atom
E_form   1.0294 eV per atom

a = 4.300 Å, b = 4.300 Å, c = 4.300 Å
α = 90.00°, β = 90.00°, γ = 90.00°
Site moments in Bohr magnetons follow the coordinates.
Fractional coordinates of all 5 atoms:
Fe 0.000 0.000 0.500  2.06
Fe 0.500 0.000 0.000  1.93
Ti 0.000 0.000 0.000  -0.77
Fe 0.000 0.500 0.000  2.09
Au 0.500 0.500 0.500  -0.01